GGA-PBE YMgSc, optimized geometry; formation enthalpy at 0 K = 0.779 eV per atom; SG = No. 216; uncorrected energy = -4.018 eV/atom; density = 2.701 g cm⁻³; ΔE to the lowest computed polymorph = 2.41 eV per formula unit
1.0
-0.4321 -3.2026 4.0247
1.8749 -4.7991 -0.3078
4.1890 -1.3132 2.7145
Mg Sc Y
1 1 1
direct
0.0000 0.0000 0.0000 Mg
0.5000 0.5000 0.5000 Sc
0.7500 0.7500 0.7500 Y

---

GGA-PBE YMg2Sc2, optimized geometry; formation enthalpy at 0 K = 0.048 eV per atom; SG = No. 127; uncorrected energy = -4.415 eV/atom; density = 2.978 g cm⁻³; ΔE to the lowest computed polymorph = 0.44 eV per formula unit
1.0
-2.8650 7.8401 2.2673
-7.1091 -1.2171 -4.7745
-1.5709 -1.3499 2.6831
Y Sc Mg
2 4 4
direct
0.0000 0.0000 0.0000 Y
0.5000 0.5000 0.0000 Y
0.3725 0.8725 0.0000 Sc
0.8725 0.6275 0.0000 Sc
0.6275 0.1275 0.0000 Sc
0.1275 0.3725 0.0000 Sc
0.1692 0.6692 0.5000 Mg
0.6692 0.8308 0.5000 Mg
0.8308 0.3308 0.5000 Mg
0.3308 0.1692 0.5000 Mg

---

GGA-PBE Y3MgSc, optimized geometry; formation enthalpy at 0 K = 0.609 eV per atom; SG = No. 221; uncorrected energy = -4.855 eV/atom; density = 3.270 g cm⁻³; ΔE to the lowest computed polymorph = 3.03 eV per formula unit
1.0
-2.2872 0.1446 5.0507
-4.1920 -3.1495 -1.8081
2.8210 -4.5630 1.4080
Y Sc Mg
3 1 1
direct
0.0000 0.5000 0.0000 Y
0.0000 0.0000 0.5000 Y
0.5000 0.0000 0.0000 Y
0.0000 0.0000 0.0000 Sc
0.5000 0.5000 0.5000 Mg

---

GGA-PBE YMg6Sc, optimized geometry; formation enthalpy at 0 K = -0.061 eV per atom; SG = No. 123; uncorrected energy = -2.857 eV/atom; density = 2.400 g cm⁻³
1.0
4.6031 0.0000 0.0000
0.0000 4.6031 0.0000
0.0000 0.0000 9.1325
Y Mg Sc
1 6 1
direct
0.0000 0.0000 0.0000 Y
0.5000 0.5000 0.0000 Mg
0.5000 0.5000 0.5000 Mg
0.5000 0.0000 0.2573 Mg
0.5000 0.0000 0.7427 Mg
0.0000 0.5000 0.2573 Mg
0.0000 0.5000 0.7427 Mg
0.0000 0.0000 0.5000 Sc

---

GGA-PBE YMgSc3, optimized geometry; formation enthalpy at 0 K = 0.064 eV per atom; SG = No. 11; uncorrected energy = -5.347 eV/atom; density = 3.187 g cm⁻³; ΔE to the lowest computed polymorph = 0.00 eV per formula unit
1.0
-1.1865 -4.9367 0.4549
6.0774 -4.3923 -3.2628
2.9826 -0.1823 5.8010
Y Mg Sc
2 2 6
direct
0.1943 0.6122 0.7500 Y
0.8057 0.3878 0.2500 Y
0.9915 0.0178 0.7500 Mg
0.0085 0.9822 0.2500 Mg
0.6085 0.7834 0.0039 Sc
0.3915 0.2166 0.5039 Sc
0.2034 0.5925 0.2500 Sc
0.3915 0.2166 0.9961 Sc
0.7966 0.4075 0.7500 Sc
0.6085 0.7834 0.4961 Sc

---

GGA-PBE YMg12Sc3, optimized geometry; formation enthalpy at 0 K = -0.051 eV per atom; SG = No. 123; uncorrected energy = -2.838 eV/atom; density = 2.270 g cm⁻³
1.0
4.5236 0.0000 0.0000
0.0000 4.5236 0.0000
0.0000 0.0000 18.4267
Y Mg Sc
1 12 3
direct
0.0000 0.0000 0.0000 Y
0.5000 0.5000 0.0000 Mg
0.5000 0.5000 0.2549 Mg
0.5000 0.5000 0.5000 Mg
0.5000 0.5000 0.7451 Mg
0.5000 0.0000 0.1315 Mg
0.5000 0.0000 0.3775 Mg
0.5000 0.0000 0.6225 Mg
0.5000 0.0000 0.8685 Mg
0.0000 0.5000 0.1315 Mg
0.0000 0.5000 0.3775 Mg
0.0000 0.5000 0.6225 Mg
0.0000 0.5000 0.8685 Mg
0.0000 0.0000 0.2548 Sc
0.0000 0.0000 0.5000 Sc
0.0000 0.0000 0.7452 Sc

---

GGA-PBE Y2MgSc, optimized geometry; formation enthalpy at 0 K = -0.020 eV per atom; SG = No. 8; uncorrected energy = -5.234 eV/atom; density = 3.665 g cm⁻³
1.0
6.4751 0.0083 0.0712
5.3892 3.5894 0.0712
2.1583 0.6545 4.8519
Y Sc Mg
2 1 1
direct
0.9931 0.9931 0.0064 Y
0.7710 0.7710 0.7295 Y
0.2268 0.2268 0.2738 Sc
0.5091 0.5091 0.4903 Mg

---

GGA-PBE Y2MgSc, optimized geometry; formation enthalpy at 0 K = 0.049 eV per atom; SG = No. 12; uncorrected energy = -5.164 eV/atom; density = 3.627 g cm⁻³
1.0
-4.3836 -3.2445 2.3363
-1.8134 -5.4777 1.3811
1.6504 -0.4659 5.5297
Mg Sc Y
1 1 2
direct
0.7500 0.7500 0.7500 Mg
0.2500 0.2500 0.2500 Sc
0.0036 0.0036 0.0034 Y
0.4964 0.4964 0.4966 Y

---

GGA-PBE YMgSc, optimized geometry; formation enthalpy at 0 K = -0.025 eV per atom; SG = No. 107; uncorrected energy = -4.822 eV/atom; density = 3.287 g cm⁻³; ΔE to the lowest computed polymorph = 0.00 eV per formula unit
1.0
7.0055 -0.0427 0.0461
6.1566 3.3434 0.0390
0.8491 0.2199 3.3789
Y Sc Mg
1 1 1
direct
0.6668 0.6668 0.3332 Y
0.3406 0.3406 0.6594 Sc
0.9926 0.9926 0.0074 Mg

---

GGA-PBE YMgSc2Zn4, optimized geometry; formation enthalpy at 0 K = -0.304 eV per atom; SG = No. 166; uncorrected energy = -3.531 eV/atom; density = 4.917 g cm⁻³
1.0
4.7612 0.0000 0.0000
2.3806 4.1234 0.0000
2.3806 1.3745 7.9946
Y Mg Sc Zn
1 1 2 4
direct
0.0000 0.0000 0.0000 Y
0.5000 0.5000 0.5000 Mg
0.7555 0.7555 0.7334 Sc
0.2445 0.2445 0.2666 Sc
0.3793 0.3793 0.8620 Zn
0.8747 0.8747 0.3760 Zn
0.1253 0.1253 0.6240 Zn
0.6207 0.6207 0.1380 Zn

---

GGA-PBE MgScZn, optimized geometry; formation enthalpy at 0 K = 0.325 eV per atom; SG = No. 216; uncorrected energy = -2.742 eV/atom; density = 3.264 g cm⁻³
1.0
-2.6530 -2.8903 -2.3878
-3.3097 -2.3690 2.1279
-4.4112 1.0280 -0.7601
Mg Sc Zn
1 1 1
direct
0.7500 0.7500 0.7500 Mg
0.0000 0.0000 0.0000 Sc
0.5000 0.5000 0.5000 Zn

---

GGA-PBE MgScZn, optimized geometry; formation enthalpy at 0 K = 0.423 eV per atom; SG = No. 216; uncorrected energy = -2.644 eV/atom; density = 3.032 g cm⁻³
1.0
-2.8877 3.3686 1.5722
-3.4282 -1.0702 3.0429
0.2847 1.4465 4.4704
Mg Sc Zn
1 1 1
direct
0.5000 0.5000 0.5000 Mg
0.7500 0.7500 0.7500 Sc
0.0000 0.0000 0.0000 Zn